# 1
# PBE HfZrSc4, optimized geometry
data_HfZrSc4
_chemical_formula_sum 'Hf2 Zr2 Sc8'
_space_group_name_H-M_alt 'C m m m'
_space_group_IT_number 65
_space_group_name_Hall '-C 2 2'
_cell_length_a 10.464
_cell_length_b 10.494
_cell_length_c 3.140
_cell_angle_alpha 90.00
_cell_angle_beta 90.00
_cell_angle_gamma 90.00
loop_
_atom_site_label
_atom_site_type_symbol
_atom_site_fract_x
_atom_site_fract_y
_atom_site_fract_z
Hf1 Hf 0.000 0.000 0.000
Zr1 Zr 0.000 0.500 0.500
Sc1 Sc 0.000 0.264 0.000
Sc2 Sc 0.235 0.000 0.500
# Offset from the most stable computed form (eV per atom): 0.687
# DOS at the Fermi energy (states/eV/f.u.): 6.41
# DFT formation energy (eV/atom): 0.700
# Size of the total moment (μB per cell): 0.000


# 2
# PBE BaPrSb2Au2, optimized geometry
data_BaPrSb2Au2
_chemical_formula_sum 'Ba1 Pr1 Sb2 Au2'
_space_group_name_H-M_alt 'P -3 m 1'
_space_group_IT_number 164
_space_group_name_Hall '-P 3 2"'
_cell_length_a 4.7438
_cell_length_b 4.7438
_cell_length_c 9.0160
_cell_angle_alpha 90.00
_cell_angle_beta 90.00
_cell_angle_gamma 120.00
loop_
_atom_site_label
_atom_site_type_symbol
_atom_site_fract_x
_atom_site_fract_y
_atom_site_fract_z
Ba1 Ba 0.0000 0.0000 0.0000
Pr1 Pr 0.0000 0.0000 0.5000
Sb1 Sb 0.3333 0.6667 0.7408
Au1 Au 0.3333 0.6667 0.3016
# DOS at the Fermi energy (states/eV/f.u.): 3.21
# Formation energy without anion corrections (eV/atom): -0.887
# Size of the total moment (μB per cell): 0.000